No. 1
Entry from the Alexandria database: a PBEsol-optimized structure of Ta2AlAu (meta-GGA SCAN).

Calculated values
DOS(E_F) ... 2.2 states/eV/cell
ρ ... 14.8 g cm⁻³
Energy ... -1.944 Ha/atom
Calculated volume ... 65.84 Å³ per cell
Calculated formation energy ... -149 kJ/mol of formula units

Cell: 5.145 5.145 5.145 Å, 136.15 134.96 64.67°
Sites, in units of the cell vectors:
Ta: 0.249 0.249 0.000
Ta: 0.751 0.751 0.000
Al: 0.000 0.500 0.500
Au: 0.500 0.000 0.500

No. 2
Entry from the Alexandria database: a PBEsol-optimized structure of Ta2AlAu (meta-GGA SCAN).

Calculated values
DOS(E_F) ... 1.7 states/eV/cell
ρ ... 14.6 g cm⁻³
Energy ... -1.939 Ha/atom
Calculated volume ... 66.85 Å³ per cell
Calculated formation energy ... -96 kJ/mol of formula units

Cell: 2.834 2.834 8.385 Å, 90.00 90.00 96.89°
Sites, in units of the cell vectors:
Ta: 0.000 0.000 0.000
Ta: 0.500 0.500 0.268
Al: 0.000 0.000 0.513
Au: 0.500 0.500 0.743

No. 3
Entry from the Alexandria database: a PBEsol-optimized structure of TaAl4Au (meta-GGA SCAN).

Calculated values
DOS(E_F) ... 5.1 states/eV/cell
ρ ... 8.4 g cm⁻³
Energy ... -1.019 Ha/atom
Calculated volume ... 95.75 Å³ per cell
Calculated formation energy ... 43 kJ/mol of formula units

Cell: 5.135 5.135 5.135 Å, 60.00 60.00 60.00°
Sites, in units of the cell vectors:
Ta: 0.000 0.000 0.000
Al: 0.124 0.625 0.625
Al: 0.625 0.124 0.625
Al: 0.625 0.625 0.124
Al: 0.625 0.625 0.625
Au: 0.250 0.250 0.250

No. 4
Entry from the Alexandria database: a PBEsol-optimized structure of TaAl2Au (meta-GGA SCAN).

Calculated values
DOS(E_F) ... 1.4 states/eV/cell
ΔE to the lowest computed polymorph ... 0 meV/atom
ρ ... 11.3 g cm⁻³
Energy ... -1.406 Ha/atom
Calculated volume ... 63.27 Å³ per cell
Calculated formation energy ... -172 kJ/mol of formula units

Cell: 4.110 4.110 3.746 Å, 90.00 90.00 90.00°
Sites, in units of the cell vectors:
Ta: 0.000 0.000 0.000
Al: 0.000 0.500 0.500
Al: 0.500 0.000 0.500
Au: 0.500 0.500 0.000

No. 5
Entry from the Alexandria database: a PBEsol-optimized structure of Ta2AlAu (meta-GGA SCAN).

Calculated values
DOS(E_F) ... 1.9 states/eV/cell
ρ ... 14.7 g cm⁻³
Energy ... -1.941 Ha/atom
Calculated volume ... 66.36 Å³ per cell
Calculated formation energy ... -116 kJ/mol of formula units

Cell: 2.871 4.192 5.514 Å, 90.00 90.09 90.00°
Sites, in units of the cell vectors:
Ta: 0.000 0.000 0.243
Ta: 0.000 0.000 0.757
Al: 0.500 0.500 0.000
Au: 0.500 0.500 0.500

No. 6
Entry from the Alexandria database: a PBEsol-optimized structure of TaAl2Au (meta-GGA SCAN).

Calculated values
DOS(E_F) ... 1.7 states/eV/cell
ΔE to the lowest computed polymorph ... 148 meV/atom
ρ ... 11.2 g cm⁻³
Energy ... -1.400 Ha/atom
Calculated volume ... 64.13 Å³ per cell
Calculated formation energy ... -114 kJ/mol of formula units

Cell: 2.897 3.597 6.155 Å, 90.00 90.00 90.00°
Sites, in units of the cell vectors:
Ta: 0.000 0.000 0.000
Al: 0.500 0.500 0.252
Al: 0.500 0.500 0.748
Au: 0.000 0.000 0.500

No. 7
Entry from the Alexandria database: a PBEsol-optimized structure of Ta2AlAu (meta-GGA SCAN).

Calculated values
DOS(E_F) ... 2.0 states/eV/cell
ρ ... 14.7 g cm⁻³
Energy ... -1.939 Ha/atom
Calculated volume ... 65.95 Å³ per cell
Calculated formation energy ... -93 kJ/mol of formula units

Cell: 2.850 2.850 8.118 Å, 90.00 90.00 90.00°
Sites, in units of the cell vectors:
Ta: 0.000 0.000 0.239
Ta: 0.000 0.000 0.761
Al: 0.500 0.500 0.000
Au: 0.500 0.500 0.500

No. 8
Entry from the Alexandria database: a PBEsol-optimized structure of Ta2AlAu (meta-GGA SCAN).

Calculated values
DOS(E_F) ... 2.1 states/eV/cell
ρ ... 14.6 g cm⁻³
Energy ... -1.939 Ha/atom
Calculated volume ... 66.83 Å³ per cell
Calculated formation energy ... -96 kJ/mol of formula units

Cell: 2.841 2.841 8.279 Å, 90.00 90.00 90.00°
Sites, in units of the cell vectors:
Ta: 0.000 0.000 0.000
Ta: 0.500 0.500 0.273
Al: 0.000 0.000 0.516
Au: 0.500 0.500 0.745

No. 9
Entry from the Alexandria database: a PBEsol-optimized structure of TbAl2Au2 (meta-GGA SCAN).

Calculated values
DOS(E_F) ... 4.5 states/eV/cell
ρ ... 10.5 g cm⁻³
Energy ... -1.511 Ha/atom
Calculated volume ... 191.13 Å³ per cell
Calculated formation energy ... -481 kJ/mol of formula units

Cell: 4.286 4.286 10.403 Å, 90.00 90.00 90.00°
Sites, in units of the cell vectors:
Tb: 0.250 0.250 0.249
Tb: 0.750 0.750 0.751
Al: 0.250 0.250 0.868
Al: 0.250 0.750 0.500
Al: 0.750 0.250 0.500
Al: 0.750 0.750 0.132
Au: 0.250 0.250 0.633
Au: 0.250 0.750 0.000
Au: 0.750 0.250 0.000
Au: 0.750 0.750 0.367

No. 10
Entry from the Alexandria database: a PBEsol-optimized structure of TbAl7Au3 (meta-GGA SCAN).

Calculated values
DOS(E_F) ... 4.1 states/eV/cell
ρ ... 8.0 g cm⁻³
Energy ... -1.058 Ha/atom
Calculated volume ... 387.50 Å³ per cell
Calculated formation energy ... -781 kJ/mol of formula units

Cell: 8.370 8.370 8.370 Å, 57.16 57.16 57.16°
Sites, in units of the cell vectors:
Tb: 0.000 0.000 0.000
Tb: 0.500 0.500 0.500
Al: 0.071 0.853 0.666
Al: 0.147 0.334 0.929
Al: 0.166 0.353 0.571
Al: 0.250 0.250 0.250
Al: 0.334 0.929 0.147
Al: 0.353 0.571 0.166
Al: 0.429 0.834 0.647
Al: 0.571 0.166 0.353
Al: 0.647 0.429 0.834
Al: 0.666 0.071 0.853
Al: 0.750 0.750 0.750
Al: 0.834 0.647 0.429
Al: 0.853 0.666 0.071
Al: 0.929 0.147 0.334
Au: 0.074 0.750 0.426
Au: 0.250 0.574 0.926
Au: 0.426 0.074 0.750
Au: 0.574 0.926 0.250
Au: 0.750 0.426 0.074
Au: 0.926 0.250 0.574

No. 11
Entry from the Alexandria database: a PBEsol-optimized structure of Al2TcAu (meta-GGA SCAN).

Calculated values
DOS(E_F) ... 0.8 states/eV/cell
ρ ... 10.1 g cm⁻³
Energy ... -1.125 Ha/atom
Calculated volume ... 57.35 Å³ per cell
Calculated formation energy ... -259 kJ/mol of formula units

Cell: 4.181 4.181 3.280 Å, 90.00 90.00 90.00°
Sites, in units of the cell vectors:
Al: 0.000 0.500 0.000
Al: 0.500 0.000 0.000
Tc: 0.000 0.000 0.500
Au: 0.500 0.500 0.500

No. 12
Entry from the Alexandria database: a PBEsol-optimized structure of Al2TcAu (meta-GGA SCAN).

Calculated values
DOS(E_F) ... 1.0 states/eV/cell
ρ ... 9.6 g cm⁻³
Energy ... -1.102 Ha/atom
Calculated volume ... 60.37 Å³ per cell
Calculated formation energy ... -25 kJ/mol of formula units

Cell: 4.403 4.403 4.403 Å, 60.00 60.00 60.00°
Sites, in units of the cell vectors:
Al: 0.000 0.000 0.000
Al: 0.250 0.250 0.250
Tc: 0.750 0.750 0.750
Au: 0.500 0.500 0.500

No. 13
Entry from the Alexandria database: a PBEsol-optimized structure of Ti2AlTcAu (meta-GGA SCAN).

Calculated values
DOS(E_F) ... 4.6 states/eV/cell
ρ ... 6.8 g cm⁻³
Energy ... -1.038 Ha/atom
Calculated volume ... 102.61 Å³ per cell
Calculated formation energy ... 277 kJ/mol of formula units

Cell: 4.498 4.498 5.072 Å, 90.00 90.00 90.00°
Sites, in units of the cell vectors:
Ti: 0.000 0.500 0.000
Ti: 0.500 0.000 0.000
Al: 0.000 0.000 0.500
Tc: 0.500 0.500 0.000
Au: 0.500 0.500 0.500

No. 14
Entry from the Alexandria database: a PBEsol-optimized structure of AlTe2Au (meta-GGA SCAN).

Calculated values
ρ ... 7.1 g cm⁻³
Energy ... -1.404 Ha/atom
Calculated volume ... 223.43 Å³ per cell
Raw formation energy ... -0.36 eV/atom

Cell: 6.806 6.806 6.806 Å, 117.36 90.53 122.08°
Sites, in units of the cell vectors:
Al: 0.250 0.250 0.000
Al: 0.750 0.750 0.000
Te: 0.158 0.202 0.360
Te: 0.342 0.702 0.044
Te: 0.658 0.298 0.956
Te: 0.842 0.798 0.640
Au: 0.000 0.500 0.500
Au: 0.500 0.000 0.500

No. 15
Entry from the Alexandria database: a PBEsol-optimized structure of AlTeAu2 (meta-GGA SCAN).

Calculated values
DOS(E_F) ... 1.3 states/eV/cell
ΔE to the lowest computed polymorph ... 0 meV/atom
ρ ... 11.2 g cm⁻³
Energy ... -1.691 Ha/atom
Calculated volume ... 81.42 Å³ per cell
Raw formation energy ... -0.18 eV/atom

Cell: 6.705 6.705 6.705 Å, 152.52 144.04 45.85°
Sites, in units of the cell vectors:
Al: 0.000 0.000 0.000
Te: 0.797 0.297 0.500
Au: 0.171 0.671 0.500
Au: 0.511 0.511 0.000

No. 16
Entry from the Alexandria database: a PBEsol-optimized structure of AlTe2Au (meta-GGA SCAN).

Calculated values
DOS(E_F) ... 0.1 states/eV/cell
ρ ... 7.4 g cm⁻³
Energy ... -1.404 Ha/atom
Calculated volume ... 107.46 Å³ per cell
Raw formation energy ... -0.34 eV/atom

Cell: 4.319 4.187 5.950 Å, 90.00 93.09 90.00°
Sites, in units of the cell vectors:
Al: 0.000 0.000 0.000
Te: 0.082 0.500 0.710
Te: 0.476 0.000 0.299
Au: 0.639 0.500 0.023

No. 17
Entry from the Alexandria database: a PBEsol-optimized structure of Al2TeAu (meta-GGA SCAN).

Calculated values
DOS(E_F) ... 1.6 states/eV/cell
ρ ... 7.9 g cm⁻³
Energy ... -1.120 Ha/atom
Calculated volume ... 79.66 Å³ per cell
Raw formation energy ... 0.00 eV/atom

Cell: 3.106 3.106 8.259 Å, 90.00 90.00 90.00°
Sites, in units of the cell vectors:
Al: 0.000 0.000 0.000
Al: 0.500 0.500 0.223
Te: 0.500 0.500 0.727
Au: 0.000 0.000 0.402

No. 18
Entry from the Alexandria database: a PBEsol-optimized structure of AlTeAu (meta-GGA SCAN).

Calculated values
DOS(E_F) ... 0.8 states/eV/cell
ρ ... 7.9 g cm⁻³
Energy ... -1.390 Ha/atom
Calculated volume ... 74.19 Å³ per cell
Raw formation energy ... 0.22 eV/atom

Cell: 4.716 4.716 4.716 Å, 60.00 60.00 60.00°
Sites, in units of the cell vectors:
Al: 0.000 0.000 0.000
Te: 0.250 0.250 0.250
Au: 0.500 0.500 0.500

No. 19
Entry from the Alexandria database: a PBEsol-optimized structure of Al2TeAu (meta-GGA SCAN).

Calculated values
DOS(E_F) ... 1.6 states/eV/cell
ρ ... 7.9 g cm⁻³
Energy ... -1.116 Ha/atom
Calculated volume ... 79.27 Å³ per cell
Raw formation energy ... 0.10 eV/atom

Cell: 4.720 4.720 3.558 Å, 90.00 90.00 90.00°
Sites, in units of the cell vectors:
Al: 0.000 0.500 0.000
Al: 0.500 0.000 0.000
Te: 0.000 0.000 0.500
Au: 0.500 0.500 0.500

No. 20
Entry from the Alexandria database: a PBEsol-optimized structure of AlTeAu2 (meta-GGA SCAN).

Calculated values
DOS(E_F) ... 3.1 states/eV/cell
ΔE to the lowest computed polymorph ... 392 meV/atom
ρ ... 11.5 g cm⁻³
Energy ... -1.677 Ha/atom
Calculated volume ... 79.15 Å³ per cell
Raw formation energy ... 0.21 eV/atom

Cell: 4.819 4.819 4.819 Å, 60.00 60.00 60.00°
Sites, in units of the cell vectors:
Al: 0.000 0.000 0.000
Te: 0.250 0.250 0.250
Au: 0.500 0.500 0.500
Au: 0.750 0.750 0.750

No. 21
Entry from the Alexandria database: a PBEsol-optimized structure of AlTe2Au (meta-GGA SCAN).

Calculated values
DOS(E_F) ... 1.9 states/eV/cell
ρ ... 8.5 g cm⁻³
Energy ... -1.398 Ha/atom
Calculated volume ... 93.84 Å³ per cell
Raw formation energy ... -0.20 eV/atom

Cell: 6.982 6.982 6.982 Å, 33.79 33.79 33.79°
Sites, in units of the cell vectors:
Al: 0.000 0.000 0.000
Te: 0.252 0.252 0.252
Te: 0.748 0.748 0.748
Au: 0.500 0.500 0.500

No. 22
Entry from the Alexandria database: a PBEsol-optimized structure of TiAl2Au2 (meta-GGA SCAN).

Calculated values
DOS(E_F) ... 3.0 states/eV/cell
ρ ... 9.5 g cm⁻³
Energy ... -1.267 Ha/atom
Calculated volume ... 86.31 Å³ per cell
Calculated formation energy ... -244 kJ/mol of formula units

Cell: 6.497 6.497 6.497 Å, 145.79 145.79 49.16°
Sites, in units of the cell vectors:
Ti: 0.000 0.000 0.000
Al: 0.250 0.750 0.500
Al: 0.750 0.250 0.500
Au: 0.390 0.390 0.000
Au: 0.610 0.610 0.000

No. 23
Entry from the Alexandria database: a PBEsol-optimized structure of TiAlAu (meta-GGA SCAN).

Calculated values
DOS(E_F) ... 4.5 states/eV/cell
ρ ... 9.5 g cm⁻³
Energy ... -1.166 Ha/atom
Calculated volume ... 95.07 Å³ per cell
Calculated formation energy ... -214 kJ/mol of formula units

Cell: 4.417 4.417 5.626 Å, 90.00 90.00 120.00°
Sites, in units of the cell vectors:
Ti: 0.000 0.000 0.000
Ti: 0.000 0.000 0.500
Al: 0.333 0.667 0.250
Al: 0.667 0.333 0.750
Au: 0.333 0.667 0.750
Au: 0.667 0.333 0.250

No. 24
Entry from the Alexandria database: a PBEsol-optimized structure of AlTlAu2 (meta-GGA SCAN).

Calculated values
DOS(E_F) ... 1.3 states/eV/cell
ΔE to the lowest computed polymorph ... 9 meV/atom
ρ ... 13.6 g cm⁻³
Energy ... -2.016 Ha/atom
Calculated volume ... 76.33 Å³ per cell
Calculated formation energy ... -101 kJ/mol of formula units

Cell: 3.083 3.083 8.033 Å, 90.00 90.00 90.00°
Sites, in units of the cell vectors:
Al: 0.000 0.000 0.000
Tl: 0.000 0.000 0.500
Au: 0.500 0.500 0.193
Au: 0.500 0.500 0.807

No. 25
Entry from the Alexandria database: a PBEsol-optimized structure of AlTlAu2 (meta-GGA SCAN).

Calculated values
DOS(E_F) ... 1.9 states/eV/cell
ΔE to the lowest computed polymorph ... 28 meV/atom
ρ ... 13.4 g cm⁻³
Energy ... -2.016 Ha/atom
Calculated volume ... 77.24 Å³ per cell
Calculated formation energy ... -93 kJ/mol of formula units

Cell: 8.614 8.614 8.614 Å, 21.80 21.80 21.80°
Sites, in units of the cell vectors:
Al: 0.000 0.000 0.000
Tl: 0.500 0.500 0.500
Au: 0.262 0.262 0.262
Au: 0.738 0.738 0.738

No. 26
Entry from the Alexandria database: a PBEsol-optimized structure of Al2TlAu (meta-GGA SCAN).

Calculated values
DOS(E_F) ... 1.6 states/eV/cell
ΔE to the lowest computed polymorph ... 67 meV/atom
ρ ... 9.9 g cm⁻³
Energy ... -1.439 Ha/atom
Calculated volume ... 76.23 Å³ per cell
Calculated formation energy ... 41 kJ/mol of formula units

Cell: 4.996 4.996 3.190 Å, 90.00 90.00 106.75°
Sites, in units of the cell vectors:
Al: 0.000 0.500 0.000
Al: 0.500 0.000 0.000
Tl: 0.000 0.000 0.500
Au: 0.500 0.500 0.500

No. 27
Entry from the Alexandria database: a PBEsol-optimized structure of Al2TlAu (meta-GGA SCAN).

Calculated values
DOS(E_F) ... 1.5 states/eV/cell
ΔE to the lowest computed polymorph ... 0 meV/atom
ρ ... 9.4 g cm⁻³
Energy ... -1.441 Ha/atom
Calculated volume ... 80.37 Å³ per cell
Calculated formation energy ... 15 kJ/mol of formula units

Cell: 5.909 5.909 5.909 Å, 151.77 123.78 64.08°
Sites, in units of the cell vectors:
Al: 0.224 0.224 0.000
Al: 0.776 0.776 0.000
Tl: 0.500 0.000 0.500
Au: 0.000 0.500 0.500

No. 28
Entry from the Alexandria database: a PBEsol-optimized structure of AlTlAu2 (meta-GGA SCAN).

Calculated values
DOS(E_F) ... 1.2 states/eV/cell
ΔE to the lowest computed polymorph ... 0 meV/atom
ρ ... 13.5 g cm⁻³
Energy ... -2.017 Ha/atom
Calculated volume ... 76.80 Å³ per cell
Calculated formation energy ... -104 kJ/mol of formula units

Cell: 3.042 3.103 8.225 Å, 90.00 98.46 90.00°
Sites, in units of the cell vectors:
Al: 0.000 0.000 0.000
Tl: 0.000 0.000 0.500
Au: 0.429 0.500 0.808
Au: 0.571 0.500 0.192

No. 29
Entry from the Alexandria database: a PBEsol-optimized structure of Al2TlAu2 (meta-GGA SCAN).

Calculated values
DOS(E_F) ... 1.8 states/eV/cell
ρ ... 11.0 g cm⁻³
Energy ... -1.676 Ha/atom
Calculated volume ... 98.67 Å³ per cell
Calculated formation energy ... -177 kJ/mol of formula units

Cell: 6.546 6.546 6.546 Å, 143.49 143.49 52.59°
Sites, in units of the cell vectors:
Al: 0.250 0.750 0.500
Al: 0.750 0.250 0.500
Tl: 0.000 0.000 0.000
Au: 0.381 0.381 0.000
Au: 0.619 0.619 0.000